Record 1
This record from Alexandria describes a relaxed ScSiF3 crystal. The functional is GGA-PBEsol.

a = 4.1531 Å, b = 4.1531 Å, c = 4.1531 Å
α = 90.00°, β = 90.00°, γ = 90.00°
Closest atoms and distances in Å follow each position.
Space group Pm-3m (No. 221)
One atom of each set of equivalent atoms:
Sc (0.0000, 0.0000, 0.0000) (multiplicity 1)  6 F 2.08
Si (0.5000, 0.5000, 0.5000) (multiplicity 1)  12 F 2.94
F (0.0000, 0.0000, 0.5000) (multiplicity 3)  2 Sc 2.08

Total magnetization in μB per formula unit: 0.00
Uncorrected formation energy in meV/atom: -2176
Uncorrected energy in eV per atom: -5.803
DOS(E_F) in states/eV per cell: 3.16

Record 2
This record from Alexandria describes a relaxed Ag8GeS6 crystal. The functional is GGA-PBEsol.

a = 14.8968 Å, b = 7.3291 Å, c = 10.4525 Å
α = 90.00°, β = 90.00°, γ = 90.00°
Closest atoms and distances in Å follow each position.
Space group Pna2_1 (No. 33)
One atom of each set of equivalent atoms:
Ag (0.0129, 0.0214, 0.0000) (multiplicity 4)  3 S 2.46-2.56
Ag (0.0602, 0.2358, 0.2222) (multiplicity 4)  4 S 2.57-2.68
Ag (0.0671, 0.5838, 0.8977) (multiplicity 4)  3 S 2.53-2.65
Ag (0.0918, 0.6068, 0.5864) (multiplicity 4)  2 S 2.47-2.50
Ag (0.1336, 0.2786, 0.7560) (multiplicity 4)  3 S 2.45-2.53
Ag (0.2210, 0.0104, 0.9679) (multiplicity 4)  3 S 2.51-2.58
Ag (0.2301, 0.8806, 0.5677) (multiplicity 4)  4 S 2.51-2.73
Ag (0.2413, 0.6449, 0.7878) (multiplicity 4)  2 S 2.41-2.42
Ge (0.1234, 0.7317, 0.2350) (multiplicity 4)  4 S 2.21-2.23
S (0.0022, 0.7256, 0.1113) (multiplicity 4)  1 Ge 2.22, 1 Ag 2.47
S (0.1142, 0.8428, 0.7520) (multiplicity 4)  5 Ag 2.41-2.68
S (0.1182, 0.2795, 0.9916) (multiplicity 4)  6 Ag 2.46-2.58
S (0.1218, 0.4922, 0.3654) (multiplicity 4)  1 Ge 2.22
S (0.1284, 0.9775, 0.3612) (multiplicity 4)  1 Ge 2.23, 1 Ag 2.42
S (0.2418, 0.7305, 0.1071) (multiplicity 4)  1 Ge 2.21, 1 Ag 2.45

Total magnetization in μB per formula unit: 0.00
Uncorrected formation energy in meV/atom: -135
Uncorrected energy in eV per atom: -3.984

Record 3
This record from Alexandria describes a relaxed CsHIF7 crystal. The functional is GGA-PBEsol.

a = 5.3080 Å, b = 8.2028 Å, c = 8.4468 Å
α = 109.60°, β = 107.18°, γ = 91.57°
Closest atoms and distances in Å follow each position.
Space group P-1 (No. 2)
One atom of each set of equivalent atoms:
Cs (0.1564, 0.3335, 0.2293) (multiplicity 2)  9 F 2.93-3.25, 1 H 3.06
H (0.1865, 0.7239, 0.5548) (multiplicity 2)  1 F 1.02
I (0.2973, 0.1492, 0.7370) (multiplicity 2)  5 F 1.89-1.96
F (0.0612, 0.8550, 0.5290) (multiplicity 2)  1 H 1.33
F (0.1003, 0.3334, 0.8364) (multiplicity 2)  1 I 1.96
F (0.2143, 0.0362, 0.8901) (multiplicity 2)  1 I 1.96
F (0.2697, 0.6226, 0.5846) (multiplicity 2)  1 H 1.02
F (0.4129, 0.9882, 0.2852) (multiplicity 2)  1 I 1.95
F (0.4397, 0.7211, 0.0445) (multiplicity 2)  1 I 1.89
F (0.4642, 0.3101, 0.6618) (multiplicity 2)  1 I 1.94

Total magnetization in μB per formula unit: 0.00
Uncorrected energy in eV per atom: -3.925
DOS(E_F) in states/eV per cell: 0.00

Record 4
This record from Alexandria describes a relaxed CaLa2VO6 crystal. The functional is GGA-PBEsol.

a = 5.8080 Å, b = 5.8080 Å, c = 13.3995 Å
α = 90.00°, β = 90.00°, γ = 120.00°
Closest atoms and distances in Å follow each position.
Space group R-3 (No. 148, hexagonal axes)
One atom of each set of equivalent atoms:
Ca (0.0000, 0.0000, 0.0000) (multiplicity 3)  6 O 2.25
La (0.0000, 0.0000, 0.2609) (multiplicity 6)  6 O 2.36-2.63
V (0.0000, 0.0000, 0.5000) (multiplicity 3)  6 O 1.93
O (0.0386, 0.4237, 0.2490) (multiplicity 18)  1 V 1.93

Total magnetization in μB per formula unit: 1.00
Uncorrected formation energy in meV/atom: -3077
Uncorrected energy in eV per atom: -8.472
DOS(E_F) in states/eV per cell: 13.22

Record 5
This record from Alexandria describes a relaxed HfCd crystal. The functional is GGA-PBEsol.

a = 3.0596 Å, b = 3.0596 Å, c = 8.7676 Å
α = 90.00°, β = 90.00°, γ = 90.00°
Closest atoms and distances in Å follow each position.
Space group P4/nmm (No. 129, origin choice 2)
One atom of each set of equivalent atoms:
Hf (0.2500, 0.2500, 0.1225) (multiplicity 2)  8 Hf 3.05-3.06, 4 Cd 3.13
Cd (0.2500, 0.2500, 0.6202) (multiplicity 2)  8 Cd 3.02-3.06, 4 Hf 3.13

Total magnetization in μB per formula unit: 0.00
Uncorrected energy in eV per atom: -5.959
DOS(E_F) in states/eV per cell: 3.16
ΔE_f in eV/atom: -0.109

Record 6
This record from Alexandria describes a relaxed MnCdSiAu2 crystal. The functional is GGA-PBEsol.

a = 5.0410 Å, b = 5.0410 Å, c = 4.7279 Å
α = 90.00°, β = 90.00°, γ = 90.00°
Closest atoms and distances in Å follow each position.
Space group P4/mmm (No. 123)
One atom of each set of equivalent atoms:
Mn (0.0000, 0.0000, 0.0000) (multiplicity 1)  8 Au 3.46, 4 Si 3.56
Cd (0.5000, 0.5000, 0.5000) (multiplicity 1)  2 Si 2.36, 4 Au 2.52
Si (0.5000, 0.5000, 0.0000) (multiplicity 1)  2 Cd 2.36
Au (0.0000, 0.5000, 0.5000) (multiplicity 2)  2 Cd 2.52

Total magnetization in μB per formula unit: 4.83
Uncorrected formation energy in meV/atom: 1190
Uncorrected energy in eV per atom: -3.720
DOS(E_F) in states/eV per cell: 2.28

Record 7
This record from Alexandria describes a relaxed SrAl2W2 crystal. The functional is GGA-PBEsol.

a = 4.9114 Å, b = 4.9114 Å, c = 8.6868 Å
α = 90.00°, β = 90.00°, γ = 90.00°
Closest atoms and distances in Å follow each position.
Space group I4/mmm (No. 139)
One atom of each set of equivalent atoms:
Sr (0.0000, 0.0000, 0.0000) (multiplicity 2)  2 W 3.15, 8 Al 3.28
Al (0.0000, 0.5000, 0.2500) (multiplicity 4)  4 W 2.64
W (0.0000, 0.0000, 0.3630) (multiplicity 4)  1 W 2.38, 4 Al 2.64

Total magnetization in μB per formula unit: 0.00
Uncorrected energy in eV per atom: -6.936
DOS(E_F) in states/eV per cell: 4.85
ΔE_f in eV/atom: 0.591

Record 8
This record from Alexandria describes a relaxed Ho6WO12 crystal. The functional is GGA-PBEsol.

a = 9.6558 Å, b = 9.6558 Å, c = 9.2176 Å
α = 90.00°, β = 90.00°, γ = 120.00°
Closest atoms and distances in Å follow each position.
Space group R-3 (No. 148, hexagonal axes)
One atom of each set of equivalent atoms:
Ho (0.0417, 0.2552, 0.1426) (multiplicity 18)  6 O 2.17-2.37
W (0.0000, 0.0000, 0.5000) (multiplicity 3)  6 O 1.94
O (0.0327, 0.2225, 0.8999) (multiplicity 18)  4 Ho 2.17-2.25
O (0.0373, 0.1849, 0.3866) (multiplicity 18)  1 W 1.94

Total magnetization in μB per formula unit: 0.00
Uncorrected formation energy in meV/atom: -3420
Uncorrected energy in eV per atom: -9.025
DOS(E_F) in states/eV per cell: 0.00

Record 9
This record from Alexandria describes a relaxed Nb2PbClF crystal. The functional is GGA-PBEsol.

a = 4.2168 Å, b = 4.2168 Å, c = 5.6716 Å
α = 90.00°, β = 90.00°, γ = 90.00°
Closest atoms and distances in Å follow each position.
Space group P4/mmm (No. 123)
One atom of each set of equivalent atoms:
Nb (0.0000, 0.5000, 0.0000) (multiplicity 2)  2 F 2.11
Pb (0.0000, 0.0000, 0.5000) (multiplicity 1)  2 F 2.84, 4 Cl 2.98
Cl (0.5000, 0.5000, 0.5000) (multiplicity 1)  4 Pb 2.98
F (0.0000, 0.0000, 0.0000) (multiplicity 1)  4 Nb 2.11

Total magnetization in μB per formula unit: 0.00
Uncorrected formation energy in meV/atom: 279
Uncorrected energy in eV per atom: -5.636
DOS(E_F) in states/eV per cell: 4.97

Record 10
This record from Alexandria describes a relaxed CaNiMo2 crystal. The functional is GGA-PBEsol.

a = 5.1959 Å, b = 9.7514 Å, c = 2.6395 Å
α = 90.00°, β = 107.18°, γ = 90.00°
Closest atoms and distances in Å follow each position.
Space group C2/m (No. 12)
One atom of each set of equivalent atoms:
Ca (0.0000, 0.0000, 0.0000) (multiplicity 2)  2 Ni 2.60, 2 Ca 2.64, 4 Mo 2.89
Ni (0.0000, 0.5000, 0.0000) (multiplicity 2)  2 Ca 2.60, 2 Ni 2.64, 4 Mo 2.89
Mo (0.2500, 0.2500, 0.5000) (multiplicity 4)  4 Mo 2.60-2.64, 2 Ni 2.89, 2 Ca 2.89

Total magnetization in μB per formula unit: 0.00
Uncorrected energy in eV per atom: -7.338
DOS(E_F) in states/eV per cell: 8.35
ΔE_f in eV/atom: 0.619

Record 11
This record from Alexandria describes a relaxed EuCrO3 crystal. The functional is GGA-PBEsol.

a = 5.3765 Å, b = 7.5891 Å, c = 5.3655 Å
α = 90.00°, β = 90.00°, γ = 90.00°
Closest atoms and distances in Å follow each position.
Space group Pnma (No. 62)
One atom of each set of equivalent atoms:
Eu (0.0336, 0.2500, 0.0057) (multiplicity 4)  8 O 2.37-2.65
Cr (0.0000, 0.0000, 0.5000) (multiplicity 4)  6 O 1.93-1.94
O (0.0116, 0.7500, 0.4327) (multiplicity 4)  2 Cr 1.93
O (0.2135, 0.5351, 0.7862) (multiplicity 8)  2 Cr 1.94

Total magnetization in μB per formula unit: 9.00
Uncorrected formation energy in meV/atom: -2557
Uncorrected energy in eV per atom: -9.868
DOS(E_F) in states/eV per cell: 35.99

Record 12
This record from Alexandria describes a relaxed BaHgRu crystal. The functional is GGA-PBEsol.

a = 7.2566 Å, b = 7.2566 Å, c = 7.2566 Å
α = 90.00°, β = 90.00°, γ = 90.00°
Closest atoms and distances in Å follow each position.
Space group F-43m (No. 216)
One atom of each set of equivalent atoms:
Ba (0.0000, 0.0000, 0.0000) (multiplicity 4)  4 Hg 3.14, 4 Ru 3.14
Hg (0.2500, 0.2500, 0.7500) (multiplicity 4)  4 Ba 3.14
Ru (0.2500, 0.2500, 0.2500) (multiplicity 4)  4 Ba 3.14

Total magnetization in μB per formula unit: 1.99
Uncorrected energy in eV per atom: -3.000
DOS(E_F) in states/eV per cell: 32.01
ΔE_f in eV/atom: 1.296

Record 13
This record from Alexandria describes a relaxed Ti2Be2Cu crystal. The functional is GGA-PBEsol.

a = 5.8500 Å, b = 5.8500 Å, c = 3.5516 Å
α = 90.00°, β = 90.00°, γ = 90.00°
Closest atoms and distances in Å follow each position.
Space group P4/mbm (No. 127)
One atom of each set of equivalent atoms:
Ti (0.1697, 0.3303, 0.0000) (multiplicity 4)  6 Be 2.43-2.50
Be (0.1292, 0.6292, 0.5000) (multiplicity 4)  1 Be 2.14, 2 Cu 2.30
Cu (0.0000, 0.0000, 0.5000) (multiplicity 2)  4 Be 2.30

Total magnetization in μB per formula unit: 0.00
Uncorrected energy in eV per atom: -5.930
DOS(E_F) in states/eV per cell: 7.19
ΔE_f in eV/atom: -0.134

Record 14
This record from Alexandria describes a relaxed Rb4CdBr6 crystal. The functional is GGA-PBEsol.

a = 12.9051 Å, b = 12.9051 Å, c = 16.1973 Å
α = 90.00°, β = 90.00°, γ = 120.00°
Closest atoms and distances in Å follow each position.
Space group R-3c (No. 167, hexagonal axes)
One atom of each set of equivalent atoms:
Rb (0.0000, 0.0000, 0.2500) (multiplicity 6)  6 Br 3.34
Rb (0.0000, 0.3788, 0.2500) (multiplicity 18)  8 Br 3.45-3.61
Cd (0.0000, 0.0000, 0.0000) (multiplicity 6)  6 Br 2.79
Br (0.0307, 0.1901, 0.4005) (multiplicity 36)  1 Cd 2.79

Total magnetization in μB per formula unit: 0.00
Uncorrected formation energy in meV/atom: -1511
Uncorrected energy in eV per atom: -3.013
DOS(E_F) in states/eV per cell: 0.00

Record 15
This record from Alexandria describes a relaxed SrInW3 crystal. The functional is GGA-PBEsol.

a = 4.7626 Å, b = 4.7626 Å, c = 4.7626 Å
α = 90.00°, β = 90.00°, γ = 90.00°
Closest atoms and distances in Å follow each position.
Space group Pm-3m (No. 221)
One atom of each set of equivalent atoms:
Sr (0.0000, 0.0000, 0.0000) (multiplicity 1)  6 W 2.38
In (0.5000, 0.5000, 0.5000) (multiplicity 1)  12 W 3.37
W (0.0000, 0.0000, 0.5000) (multiplicity 3)  2 Sr 2.38

Total magnetization in μB per formula unit: 0.00
Uncorrected energy in eV per atom: -5.771
DOS(E_F) in states/eV per cell: 6.34
ΔE_f in eV/atom: 3.478

Record 16
This record from Alexandria describes a relaxed Be2TcP crystal. The functional is GGA-PBEsol.

a = 3.5834 Å, b = 3.5834 Å, c = 3.2004 Å
α = 90.00°, β = 90.00°, γ = 90.00°
Closest atoms and distances in Å follow each position.
Space group P4/mmm (No. 123)
One atom of each set of equivalent atoms:
Be (0.0000, 0.5000, 0.0000) (multiplicity 2)  4 Tc 2.40, 4 P 2.40, 4 Be 2.53
Tc (0.0000, 0.0000, 0.5000) (multiplicity 1)  8 Be 2.40, 4 P 2.53
P (0.5000, 0.5000, 0.5000) (multiplicity 1)  8 Be 2.40, 4 Tc 2.53

Total magnetization in μB per formula unit: 0.00
Uncorrected energy in eV per atom: -6.405
DOS(E_F) in states/eV per cell: 1.72
ΔE_f in eV/atom: -0.140

Record 17
This record from Alexandria describes a relaxed Cr2FeTc crystal. The functional is GGA-PBEsol.

a = 2.8561 Å, b = 2.8561 Å, c = 5.7633 Å
α = 90.00°, β = 90.00°, γ = 90.00°
Closest atoms and distances in Å follow each position.
Space group P4mm (No. 99)
One atom of each set of equivalent atoms:
Cr (0.0000, 0.0000, 0.0000) (multiplicity 1)  4 Cr 2.44, 4 Tc 2.50, 1 Fe 2.64
Cr (0.5000, 0.5000, 0.2363) (multiplicity 1)  4 Fe 2.39, 4 Cr 2.44
Fe (0.0000, 0.0000, 0.4589) (multiplicity 1)  5 Cr 2.39-2.64, 4 Tc 2.60
Tc (0.5000, 0.5000, 0.7431) (multiplicity 1)  4 Cr 2.50, 4 Fe 2.60

Total magnetization in μB per formula unit: 1.79
Uncorrected energy in eV per atom: -10.061
DOS(E_F) in states/eV per cell: 4.85
ΔE_f in eV/atom: 0.117

Record 18
This record from Alexandria describes a relaxed CoTeAs2 crystal. The functional is GGA-PBEsol.

a = 6.8022 Å, b = 3.0258 Å, c = 8.1735 Å
α = 90.00°, β = 104.14°, γ = 90.00°
Closest atoms and distances in Å follow each position.
Space group C2/m (No. 12)
One atom of each set of equivalent atoms:
Co (0.0000, 0.0000, 0.0000) (multiplicity 2)  6 As 2.34-2.36
Te (0.0000, 0.5000, 0.5000) (multiplicity 2)  2 As 2.81, 2 Te 3.03
As (0.1554, 0.5000, 0.8522) (multiplicity 4)  3 Co 2.34-2.36

Total magnetization in μB per formula unit: 0.00
Uncorrected formation energy in meV/atom: -17
Uncorrected energy in eV per atom: -5.386
DOS(E_F) in states/eV per cell: 7.67

Record 19
This record from Alexandria describes a relaxed Nd7Co3 crystal. The functional is GGA-PBEsol.

a = 9.6252 Å, b = 9.6252 Å, c = 6.2261 Å
α = 90.00°, β = 90.00°, γ = 120.00°
Closest atoms and distances in Å follow each position.
Space group P6_3mc (No. 186)
One atom of each set of equivalent atoms:
Nd (0.0770, 0.5385, 0.0000) (multiplicity 6)  2 Co 2.74
Nd (0.1256, 0.2511, 0.3015) (multiplicity 6)  3 Co 2.76-3.04
Nd (0.3333, 0.6667, 0.5411) (multiplicity 2)  3 Co 2.80
Co (0.1868, 0.3735, 0.7618) (multiplicity 6)  6 Nd 2.74-3.04

Total magnetization in μB per formula unit: 0.00
Uncorrected energy in eV per atom: -5.983
DOS(E_F) in states/eV per cell: 24.35
ΔE_f in eV/atom: -0.045

Record 20
This record from Alexandria describes a relaxed NaMgF3 crystal. The functional is GGA-PBEsol.

a = 3.9041 Å, b = 3.9041 Å, c = 3.9041 Å
α = 90.00°, β = 90.00°, γ = 90.00°
Closest atoms and distances in Å follow each position.
Space group Pm-3m (No. 221)
One atom of each set of equivalent atoms:
Na (0.0000, 0.0000, 0.0000) (multiplicity 1)  12 F 2.76
Mg (0.5000, 0.5000, 0.5000) (multiplicity 1)  6 F 1.95
F (0.0000, 0.5000, 0.5000) (multiplicity 3)  2 Mg 1.95

Total magnetization in μB per formula unit: 0.00
Uncorrected formation energy in meV/atom: -3208
Uncorrected energy in eV per atom: -4.988
DOS(E_F) in states/eV per cell: 0.00